Entry 1:
K3Se2O8 | SCAN | PBEsol geometry

Values from the calculation:
Its excess energy over the best structure of this formula in the dataset is 0 meV/atom. The total magnetization is 0.0860 μB per atom. Its volume is 430 Å³/cell.

Lattice parameters (Å, degrees): 5.963 7.977 10.050 103.23 90.00 111.95
Positions (direct):
Se (0.096, 0.775, 0.534)
O (0.828, 0.679, 0.589)
O (0.846, 0.011, 0.066)
O (0.095, 0.695, 0.367)
K (0.906, 0.381, 0.152)
K (0.476, 0.381, 0.652)
Se (0.904, 0.225, 0.466)
Se (0.679, 0.775, 0.034)
O (0.835, 0.989, 0.434)
O (0.683, 0.243, 0.378)
O (0.317, 0.757, 0.622)
K (0.237, 0.000, 0.250)
O (0.148, 0.321, 0.911)
O (0.600, 0.695, 0.867)
Se (0.321, 0.225, 0.966)
O (0.172, 0.321, 0.411)
O (0.905, 0.305, 0.633)
O (0.852, 0.679, 0.089)
O (0.560, 0.243, 0.878)
K (0.094, 0.619, 0.848)
K (0.524, 0.619, 0.348)
O (0.165, 0.011, 0.566)
K (0.763, 0.000, 0.750)
O (0.154, 0.989, 0.934)
O (0.400, 0.305, 0.133)
O (0.440, 0.757, 0.122)

=====

Entry 2:
BeCrIr2 | SCAN | PBEsol geometry

Values from the calculation:
Its density of states at the Fermi level is 2.5 states/eV/f.u. The total magnetization is 0.0006 μB per atom. Its volume is 47 Å³/cell. The value obtained for the calculated formation energy is -537 meV/atom.

Lattice parameters (Å, degrees): 2.733 2.733 6.258 90.00 90.00 90.00
Positions (direct):
Ir (0.000, 0.000, 0.228)
Be (0.500, 0.500, 0.000)
Ir (0.000, 0.000, 0.772)
Cr (0.500, 0.500, 0.500)

=====

Entry 3:
LaMg3Nb | SCAN | PBEsol geometry

Values from the calculation:
Its density of states at the Fermi level is 6.5 states/eV/f.u. The total magnetization is 0.5662 μB per atom. Its volume is 166 Å³/cell. The value obtained for the calculated formation energy is 1801 meV/atom.

Lattice parameters (Å, degrees): 5.499 5.499 5.499 90.00 90.00 90.00
Positions (direct):
La (0.000, 0.000, 0.000)
Mg (0.500, 0.000, 0.000)
Nb (0.500, 0.500, 0.500)
Mg (0.000, 0.500, 0.000)
Mg (0.000, 0.000, 0.500)

=====

Entry 4:
YSnSb2 | SCAN | PBEsol geometry

Values from the calculation:
Its density of states at the Fermi level is 3.7 states/eV/f.u. The total magnetization is 0.0000 μB per atom. The calculation puts the final energy at -278.33 eV per cell. Its volume is 312 Å³/cell.

Lattice parameters (Å, degrees): 6.814 6.814 8.267 114.34 114.34 90.00
Positions (direct):
Sn (0.000, 0.000, 0.000)
Y (0.750, 0.250, 0.500)
Sb (0.364, 0.875, 0.250)
Y (0.500, 0.500, 0.000)
Sb (0.625, 0.636, 0.750)
Sb (0.886, 0.375, 0.250)
Sn (0.250, 0.750, 0.500)
Sb (0.125, 0.114, 0.750)

=====

Entry 5:
EuAgW2O8 | SCAN | PBEsol geometry

Values from the calculation:
Its density of states at the Fermi level is 4.0 states/eV/f.u. The total magnetization is 0.4970 μB per atom. The calculation puts the final energy at -602.34 eV per cell. Its volume is 313 Å³/cell.

Lattice parameters (Å, degrees): 7.237 7.443 7.443 94.47 114.94 114.94
Positions (direct):
W (0.500, 0.837, 0.163)
O (0.360, 0.790, 0.315)
O (0.100, 0.050, 0.304)
O (0.900, 0.950, 0.696)
Ag (0.514, 0.703, 0.703)
O (0.763, 0.346, 0.103)
O (0.237, 0.654, 0.897)
O (0.900, 0.696, 0.950)
Eu (0.000, 0.303, 0.697)
O (0.763, 0.103, 0.346)
O (0.237, 0.897, 0.654)
Eu (0.000, 0.697, 0.303)
W (0.500, 0.163, 0.837)
O (0.155, 0.449, 0.449)
O (0.360, 0.315, 0.790)
O (0.845, 0.551, 0.551)
O (0.338, 0.021, 0.021)
O (0.662, 0.979, 0.979)
O (0.640, 0.210, 0.685)
O (0.100, 0.304, 0.050)
W (0.017, 0.784, 0.784)
W (0.983, 0.216, 0.216)
O (0.640, 0.685, 0.210)
Ag (0.486, 0.297, 0.297)

=====

Entry 6:
KCdIr2 | SCAN | PBEsol geometry

Values from the calculation:
Its density of states at the Fermi level is 3.1 states/eV/f.u. The total magnetization is 0.0001 μB per atom. Its volume is 70 Å³/cell. The value obtained for the calculated formation energy is 530 meV/atom.

Lattice parameters (Å, degrees): 2.833 2.833 10.179 82.00 82.00 60.00
Positions (direct):
Ir (0.742, 0.742, 0.775)
Cd (0.000, 0.000, 0.000)
Ir (0.258, 0.258, 0.225)
K (0.500, 0.500, 0.500)

=====

Entry 7:
LiSc2Re | SCAN | PBEsol geometry

Values from the calculation:
Its density of states at the Fermi level is 3.3 states/eV/f.u. The total magnetization is 0.0165 μB per atom. Its volume is 79 Å³/cell. The value obtained for the calculated formation energy is -85 meV/atom.

Lattice parameters (Å, degrees): 3.240 3.240 7.513 90.00 90.00 90.00
Positions (direct):
Re (0.500, 0.500, 0.500)
Li (0.500, 0.500, 0.000)
Sc (0.000, 0.000, 0.702)
Sc (0.000, 0.000, 0.298)

=====

Entry 8:
Hf2MnH | SCAN | PBEsol geometry

Values from the calculation:
Its density of states at the Fermi level is 2.6 states/eV/f.u. The total magnetization is 0.0001 μB per atom. The calculation puts the final energy at -145.90 eV per cell. Its volume is 56 Å³/cell.

Lattice parameters (Å, degrees): 4.300 4.300 4.300 60.00 60.00 60.00
Positions (direct):
Hf (0.250, 0.250, 0.250)
Hf (0.750, 0.750, 0.750)
Mn (0.500, 0.500, 0.500)
H (0.000, 0.000, 0.000)

=====

Entry 9:
ScTcIr2C | SCAN | PBEsol geometry

Values from the calculation:
Its density of states at the Fermi level is 3.0 states/eV/f.u. The total magnetization is 0.2868 μB per atom. Its volume is 102 Å³/cell. The value obtained for the calculated formation energy is 2189 meV/atom.

Lattice parameters (Å, degrees): 4.571 4.571 4.885 90.00 90.00 90.00
Positions (direct):
Ir (0.000, 0.500, 0.000)
Sc (0.000, 0.000, 0.500)
Ir (0.500, 0.000, 0.000)
C (0.500, 0.500, 0.500)
Tc (0.000, 0.000, 0.000)

=====

Entry 10:
YTcSe2 | SCAN | PBEsol geometry

Values from the calculation:
Its excess energy over the best structure of this formula in the dataset is 297 meV/atom. Its density of states at the Fermi level is 2.6 states/eV/f.u. The total magnetization is 0.7590 μB per atom. Its volume is 77 Å³/cell.

Lattice parameters (Å, degrees): 3.795 3.795 5.970 108.53 108.53 90.00
Positions (direct):
Se (0.000, 0.000, 0.000)
Se (0.750, 0.250, 0.500)
Y (0.250, 0.750, 0.500)
Tc (0.500, 0.500, 0.000)

=====

Entry 11:
Ba2ZnSb | SCAN | PBEsol geometry

Values from the calculation:
Its excess energy over the best structure of this formula in the dataset is 0 meV/atom. Its density of states at the Fermi level is 2.0 states/eV/f.u. The total magnetization is 0.1438 μB per atom. Its volume is 144 Å³/cell.

Lattice parameters (Å, degrees): 4.686 4.892 6.735 111.30 90.00 90.00
Positions (direct):
Zn (0.875, 0.698, 0.395)
Ba (0.375, 0.263, 0.526)
Sb (0.375, 0.556, 0.112)
Ba (0.875, 0.983, 0.967)

=====

Entry 12:
TaOs2Ru | SCAN | PBEsol geometry

Values from the calculation:
Its excess energy over the best structure of this formula in the dataset is 402 meV/atom. Its density of states at the Fermi level is 4.1 states/eV/f.u. The total magnetization is 0.3094 μB per atom. Its volume is 59 Å³/cell. The value obtained for the calculated formation energy is 192 meV/atom.

Lattice parameters (Å, degrees): 2.719 4.813 5.269 115.65 102.47 95.29
Positions (direct):
Os (0.500, 0.500, 0.500)
Os (0.000, 0.000, 0.500)
Ta (0.500, 0.000, 0.000)
Ru (0.000, 0.500, 0.000)

=====

Entry 13:
MgFeCo4 | SCAN | PBEsol geometry

Values from the calculation:
Its density of states at the Fermi level is 5.8 states/eV/f.u. The total magnetization is 1.6443 μB per atom. Its volume is 71 Å³/cell. The value obtained for the calculated formation energy is 54 meV/atom.

Lattice parameters (Å, degrees): 4.651 4.651 4.651 60.00 60.00 60.00
Positions (direct):
Co (0.625, 0.625, 0.126)
Fe (0.250, 0.250, 0.250)
Co (0.625, 0.625, 0.625)
Mg (0.000, 0.000, 0.000)
Co (0.126, 0.625, 0.625)
Co (0.625, 0.126, 0.625)

=====

Entry 14:
LaSc2Ta | SCAN | PBEsol geometry

Values from the calculation:
Its density of states at the Fermi level is 4.2 states/eV/f.u. The total magnetization is 0.0000 μB per atom. Its volume is 93 Å³/cell. The value obtained for the calculated formation energy is 320 meV/atom.

Lattice parameters (Å, degrees): 3.086 5.424 5.826 95.68 90.00 106.53
Positions (direct):
La (0.754, 0.507, 0.254)
Sc (0.995, 0.990, 0.975)
Ta (0.507, 0.014, 0.535)
Sc (0.244, 0.488, 0.735)

=====

Entry 15:
Co2Ag | SCAN | PBEsol geometry

Values from the calculation:
Its density of states at the Fermi level is 1.9 states/eV/f.u. The total magnetization is 1.2226 μB per atom. Its volume is 75 Å³/cell. The value obtained for the calculated formation energy is 428 meV/atom.

Lattice parameters (Å, degrees): 2.637 4.295 6.757 90.00 101.25 90.00
Positions (direct):
Co (0.564, 0.750, 0.127)
Co (0.436, 0.250, 0.873)
Co (0.781, 0.250, 0.562)
Ag (0.108, 0.250, 0.216)
Ag (0.892, 0.750, 0.784)
Co (0.219, 0.750, 0.438)

=====

Entry 16:
FeCo3 | SCAN | PBEsol geometry

Values from the calculation:
Its density of states at the Fermi level is 2.7 states/eV/f.u. The total magnetization is 2.0023 μB per atom. Its volume is 42 Å³/cell. The value obtained for the calculated formation energy is -3 meV/atom.

Lattice parameters (Å, degrees): 2.454 2.454 7.020 90.00 90.00 90.00
Positions (direct):
Co (0.000, 0.000, 0.743)
Co (0.000, 0.000, 0.257)
Co (0.500, 0.500, 0.500)
Fe (0.500, 0.500, 0.000)

=====

Entry 17:
AlSbSe2 | SCAN | PBEsol geometry

Values from the calculation:
Its excess energy over the best structure of this formula in the dataset is 699 meV/atom. Its density of states at the Fermi level is 1.8 states/eV/f.u. The total magnetization is 0.0005 μB per atom. Its volume is 82 Å³/cell.

Lattice parameters (Å, degrees): 4.882 4.882 4.882 60.00 60.00 60.00
Positions (direct):
Sb (0.500, 0.500, 0.500)
Se (0.250, 0.250, 0.250)
Al (0.000, 0.000, 0.000)
Se (0.750, 0.750, 0.750)

=====

Entry 18:
LiP2W | SCAN | PBEsol geometry

Values from the calculation:
Its excess energy over the best structure of this formula in the dataset is 194 meV/atom. Its density of states at the Fermi level is 3.2 states/eV/f.u. The total magnetization is 0.0001 μB per atom. Its volume is 53 Å³/cell. The value obtained for the calculated formation energy is 60 meV/atom.

Lattice parameters (Å, degrees): 4.217 4.217 4.217 60.00 60.00 60.00
Positions (direct):
Li (0.000, 0.000, 0.000)
W (0.500, 0.500, 0.500)
P (0.750, 0.750, 0.750)
P (0.250, 0.250, 0.250)

=====

Entry 19:
ZrTa2Al | SCAN | PBEsol geometry

Values from the calculation:
Its density of states at the Fermi level is 4.2 states/eV/f.u. The total magnetization is 0.0000 μB per atom. Its volume is 72 Å³/cell. The value obtained for the calculated formation energy is -93 meV/atom.

Lattice parameters (Å, degrees): 4.679 4.679 4.679 60.00 60.00 60.00
Positions (direct):
Al (0.500, 0.500, 0.500)
Zr (0.250, 0.250, 0.250)
Ta (0.750, 0.750, 0.750)
Ta (0.000, 0.000, 0.000)

=====

Entry 20:
Zr2CoCu | SCAN | PBEsol geometry

Values from the calculation:
Its density of states at the Fermi level is 2.6 states/eV/f.u. The total magnetization is 0.1130 μB per atom. Its volume is 64 Å³/cell. The value obtained for the calculated formation energy is -273 meV/atom.

Lattice parameters (Å, degrees): 3.182 4.493 4.493 90.04 90.00 90.00
Positions (direct):
Zr (0.000, 0.500, 0.000)
Cu (0.500, 0.500, 0.500)
Co (0.500, 0.000, 0.000)
Zr (0.000, 0.000, 0.500)

=====

Entry 21:
CrNiW | SCAN | PBEsol geometry

Values from the calculation:
Its excess energy over the best structure of this formula in the dataset is 0 meV/atom. Its density of states at the Fermi level is 2.2 states/eV/f.u. The total magnetization is 0.0001 μB per atom. Its volume is 38 Å³/cell. The value obtained for the calculated formation energy is 161 meV/atom.

Lattice parameters (Å, degrees): 2.558 2.558 6.117 99.35 99.35 102.86
Positions (direct):
Cr (0.008, 0.008, 0.017)
Ni (0.661, 0.661, 0.321)
W (0.331, 0.331, 0.662)

=====

Entry 22:
Be2Nb2Ir | SCAN | PBEsol geometry

Values from the calculation:
Its density of states at the Fermi level is 2.3 states/eV/f.u. The total magnetization is 0.0000 μB per atom. Its volume is 129 Å³/cell. The value obtained for the calculated formation energy is -550 meV/atom.

Lattice parameters (Å, degrees): 3.487 6.093 6.093 90.00 90.00 90.00
Positions (direct):
Be (0.000, 0.625, 0.125)
Be (0.000, 0.375, 0.875)
Nb (0.500, 0.327, 0.173)
Nb (0.500, 0.173, 0.673)
Nb (0.500, 0.673, 0.827)
Be (0.000, 0.875, 0.625)
Ir (0.000, 0.000, 0.000)
Be (0.000, 0.125, 0.375)
Ir (0.000, 0.500, 0.500)
Nb (0.500, 0.827, 0.327)

=====

Entry 23:
CdRuIN2 | SCAN | PBEsol geometry

Values from the calculation:
Its density of states at the Fermi level is 2.3 states/eV/f.u. The total magnetization is 0.5287 μB per atom. The calculation puts the final energy at -110.38 eV per cell. Its volume is 83 Å³/cell.

Lattice parameters (Å, degrees): 4.071 4.071 4.988 90.00 90.00 90.00
Positions (direct):
N (0.000, 0.500, 0.000)
Ru (0.000, 0.000, 0.500)
N (0.500, 0.000, 0.000)
Cd (0.500, 0.500, 0.500)
I (0.000, 0.000, 0.000)

=====

Entry 24:
Cr2NiOs | SCAN | PBEsol geometry

Values from the calculation:
Its density of states at the Fermi level is 3.0 states/eV/f.u. The total magnetization is 0.4677 μB per atom. Its volume is 48 Å³/cell. The value obtained for the calculated formation energy is 88 meV/atom.

Lattice parameters (Å, degrees): 4.069 4.069 4.069 60.00 60.00 60.00
Positions (direct):
Os (0.250, 0.250, 0.250)
Ni (0.500, 0.500, 0.500)
Cr (0.000, 0.000, 0.000)
Cr (0.750, 0.750, 0.750)

=====

Entry 25:
LiMnZn | SCAN | PBEsol geometry

Values from the calculation:
Its excess energy over the best structure of this formula in the dataset is 447 meV/atom. Its density of states at the Fermi level is 2.1 states/eV/f.u. The total magnetization is 1.4103 μB per atom. Its volume is 51 Å³/cell. The value obtained for the calculated formation energy is 377 meV/atom.

Lattice parameters (Å, degrees): 4.173 4.173 4.173 60.00 60.00 60.00
Positions (direct):
Li (0.500, 0.500, 0.500)
Mn (0.750, 0.750, 0.750)
Zn (0.000, 0.000, 0.000)

=====

Entry 26:
RbTl2PSe | SCAN | PBEsol geometry

Values from the calculation:
Its density of states at the Fermi level is 4.6 states/eV/f.u. The total magnetization is 0.0001 μB per atom. The calculation puts the final energy at -196.08 eV per cell. Its volume is 166 Å³/cell.

Lattice parameters (Å, degrees): 5.204 5.204 6.119 90.00 90.00 90.00
Positions (direct):
Tl (0.000, 0.500, 0.000)
P (0.000, 0.000, 0.000)
Rb (0.000, 0.000, 0.500)
Tl (0.500, 0.000, 0.000)
Se (0.500, 0.500, 0.500)

=====

Entry 27:
MgZrW3 | SCAN | PBEsol geometry

Values from the calculation:
Its density of states at the Fermi level is 6.0 states/eV/f.u. The total magnetization is 0.0000 μB per atom. Its volume is 95 Å³/cell. The value obtained for the calculated formation energy is 2211 meV/atom.

Lattice parameters (Å, degrees): 4.568 4.568 4.568 90.00 90.00 90.00
Positions (direct):
Zr (0.500, 0.500, 0.500)
Mg (0.000, 0.000, 0.000)
W (0.000, 0.000, 0.500)
W (0.000, 0.500, 0.000)
W (0.500, 0.000, 0.000)